# AcNd4Y4 (PBE, optimized geometry)
# size of the total moment = 0.00 μB per cell
# energy of formation = 0.03 eV/atom
# DFT total energy = -5.42 eV/atom
# V = 314.1 Å³/f.u.
data_AcNd4Y4
_chemical_formula_sum 'Ac2 Nd8 Y8'
_cell_length_a 6.351
_cell_length_b 9.712
_cell_length_c 10.989
_cell_angle_alpha 100.86
_cell_angle_beta 106.61
_cell_angle_gamma 96.30
_space_group_name_H-M_alt 'P -1'
_space_group_IT_number 2
loop_
_space_group_symop_operation_xyz
'x,y,z'
'-x,-y,-z'
loop_
_atom_site_label
_atom_site_type_symbol
_atom_site_fract_x
_atom_site_fract_y
_atom_site_fract_z
Ac1 Ac 0.250 0.083 0.303
Nd1 Nd 0.248 0.745 0.081
Nd2 Nd 0.249 0.746 0.752
Nd3 Nd 0.252 0.419 0.529
Nd4 Nd 0.253 0.087 0.642
Y1 Y 0.243 0.745 0.414
Y2 Y 0.250 0.417 0.863
Y3 Y 0.250 0.420 0.192
Y4 Y 0.256 0.085 0.972